VASP calculation (PBE with a Hubbard U) on a relaxed Ba2CuWO6 crystal.

POSCAR file:
```
Ba2CuWO6
1.0
2.944 1.700 9.627
-2.944 1.700 9.627
0.000 -3.399 9.627
Ba Cu W O
4 2 2 12
Cartesian
0.000 0.000 3.666 Ba
0.000 0.000 8.154 Ba
0.000 0.000 20.727 Ba
0.000 0.000 25.216 Ba
0.000 0.000 11.683 Cu
0.000 0.000 17.198 Cu
0.000 0.000 0.000 W
0.000 0.000 14.441 W
-1.373 -0.793 13.287 O
0.000 -1.801 10.756 O
-1.560 0.901 10.756 O
-1.560 -0.901 18.126 O
0.000 -1.586 15.594 O
-1.373 0.793 15.594 O
1.373 -0.793 13.287 O
0.000 1.586 13.287 O
1.560 0.901 10.756 O
1.560 -0.901 18.126 O
0.000 1.801 18.126 O
1.373 0.793 15.594 O
```

As for the energy above the most stable polymorph in this dataset: 0.0169 eV/atom.